(w)
A relaxed PmAlZn3 crystal. Source: Alexandria via LeMat-Bulk, functional GGA-PBE.

Geometry as POSCAR:
```
PmAlZn3
1.0
3.034 -3.043 0.000
3.034 3.043 0.000
-3.008 0.000 5.197
Pm Al Zn
1 1 3
Direct
0.000 0.000 0.000 Pm
0.617 0.617 0.235 Al
0.250 0.751 0.503 Zn
0.379 0.379 0.760 Zn
0.751 0.250 0.503 Zn
```

(x)
A relaxed PmAlZn3 crystal. Source: Alexandria via LeMat-Bulk, functional GGA-PBE.

Geometry as POSCAR:
```
PmAlZn3
1.0
-2.350 2.350 11.407
2.350 -2.350 11.407
2.350 2.350 -11.407
Pm Al Zn
2 2 6
Direct
0.000 0.000 0.000 Pm
0.750 0.250 0.500 Pm
0.351 0.351 0.000 Al
0.649 0.649 0.000 Al
0.094 0.594 0.500 Zn
0.374 0.125 0.249 Zn
0.406 0.906 0.500 Zn
0.875 0.124 0.249 Zn
0.875 0.626 0.751 Zn
0.876 0.125 0.751 Zn
```

Here is how they stack up, most stable first: (w), (x).

(w)
A relaxed Pm3Al4Zn4 crystal. Source: Alexandria via LeMat-Bulk, functional GGA-PBE.

Geometry as POSCAR:
```
Pm3Al4Zn4
1.0
-3.892 3.892 3.892
3.892 -3.892 3.892
3.892 3.892 -3.892
Pm Al Zn
3 4 4
Direct
0.000 0.500 0.500 Pm
0.500 0.000 0.500 Pm
0.500 0.500 0.000 Pm
0.000 0.000 0.740 Al
0.000 0.740 0.000 Al
0.260 0.260 0.260 Al
0.740 0.000 0.000 Al
0.000 0.000 0.381 Zn
0.000 0.381 0.000 Zn
0.381 0.000 0.000 Zn
0.619 0.619 0.619 Zn
```

(x)
A relaxed Pm3Al4Zn4 crystal. Source: Alexandria via LeMat-Bulk, functional GGA-PBE.

Geometry as POSCAR:
```
Pm3Al4Zn4
1.0
13.467 -2.195 0.000
13.467 2.195 0.000
-0.581 0.000 3.917
Pm Al Zn
3 4 4
Direct
0.000 0.000 0.000 Pm
0.352 0.352 0.852 Pm
0.648 0.648 0.148 Pm
0.095 0.095 0.594 Al
0.253 0.253 0.253 Al
0.747 0.747 0.747 Al
0.905 0.905 0.406 Al
0.191 0.191 0.690 Zn
0.452 0.452 0.453 Zn
0.548 0.548 0.547 Zn
0.809 0.809 0.310 Zn
```

Here is how they stack up, most stable first: (x), (w).